Entry 1:
The following is a PBE calculation of a relaxed Pm4PrSm2Mg crystal, from Alexandria.

The structure in POSCAR format:
```
Pm4PrSm2Mg
1.0
-5.973 -5.758 -4.745
3.818 -7.742 4.102
-2.316 10.513 4.921
Pm Pr Sm Mg
8 2 4 2
Direct
0.238 0.763 0.000
0.737 0.262 0.500
0.263 0.738 0.500
0.762 0.237 0.000
0.749 0.750 0.987
0.750 0.751 0.513
0.250 0.249 0.487
0.251 0.250 0.013
0.000 0.500 0.000
0.000 0.500 0.500
0.500 0.000 0.000
0.500 0.000 0.500
0.000 0.000 0.500
0.500 0.500 0.000
0.500 0.500 0.500
0.000 0.000 0.000
```

As for the energy of formation: 324.3 meV/atom.

---

Entry 2:
The following is a PBE calculation of a relaxed BaLa2BeO5 crystal, from Alexandria.

The structure in POSCAR format:
```
BaLa2BeO5
1.0
6.889 0.000 0.000
0.000 7.523 -0.001
0.000 0.135 9.999
Ba La Be O
4 8 4 20
Direct
0.582 0.019 0.672
0.918 0.019 0.172
0.082 0.981 0.828
0.418 0.981 0.328
0.412 0.255 0.021
0.418 0.522 0.324
0.918 0.478 0.176
0.582 0.478 0.676
0.082 0.522 0.824
0.088 0.255 0.521
0.588 0.745 0.979
0.912 0.745 0.479
0.807 0.260 0.903
0.307 0.740 0.597
0.193 0.740 0.097
0.693 0.260 0.403
0.368 0.724 0.766
0.013 0.278 0.990
0.513 0.722 0.510
0.987 0.722 0.010
0.487 0.278 0.490
0.632 0.276 0.234
0.132 0.724 0.266
0.807 0.070 0.437
0.868 0.276 0.734
0.164 0.283 0.286
0.664 0.717 0.214
0.836 0.717 0.714
0.193 0.930 0.563
0.693 0.070 0.937
0.821 0.440 0.434
0.307 0.930 0.063
0.679 0.440 0.934
0.321 0.560 0.066
0.179 0.560 0.566
0.336 0.283 0.786
```

For the formation energy without anion corrections, the calculation gives -3.103 eV/atom.